Density functional theory data (GGA+U) for an optimized crystal structure of Si2NiAuF.

a b c (Å): 4.1991 4.1991 4.8610
angles (deg): 90.00 90.00 90.00
Space group P4/mmm (No. 123)
Unique sites:
Si: 0.0000 0.5000 0.0000 (multiplicity 2)
Ni: 0.0000 0.0000 0.0000 (multiplicity 1)
Au: 0.0000 0.0000 0.5000 (multiplicity 1)
F: 0.5000 0.5000 0.5000 (multiplicity 1)

Summary:
The energy comes out at -17.2 eV/cell.